# Zr3HPb, relaxed, DFT GGA-PBE
# Crystal system   monoclinic
# Size of the total moment   0.0 μB per cell
# Raw total energy   -6.769 eV/atom
# Excess energy over the best structure of this formula in the dataset   32 kJ/mol of formula units
data_Zr3HPb
_chemical_formula_sum 'Zr6 H2 Pb2'
_space_group_name_H-M_alt 'P 1 21/m 1'
_space_group_IT_number 11
_space_group_name_Hall '-P 2yb'
_cell_length_a 5.199
_cell_length_b 6.149
_cell_length_c 5.876
_cell_angle_alpha 90.00
_cell_angle_beta 90.51
_cell_angle_gamma 90.00
loop_
_atom_site_label
_atom_site_fract_x
_atom_site_fract_y
_atom_site_fract_z
Zr1 0.248 0.007 0.350
Zr2 0.248 0.750 0.873
H1 0.462 0.750 0.579
Pb1 0.248 0.250 0.843


# Zr2H4Pb, relaxed, DFT GGA-PBE
# Crystal system   tetragonal
# Size of the total moment   0.0 μB per cell
# Raw total energy   -5.075 eV/atom
data_Zr2H4Pb
_chemical_formula_sum 'Zr8 H16 Pb4'
_space_group_name_H-M_alt 'I 41/a m d'
_space_group_IT_number 141
_cell_length_a 5.759
_cell_length_b 5.759
_cell_length_c 10.961
_cell_angle_alpha 90.00
_cell_angle_beta 90.00
_cell_angle_gamma 90.00
loop_
_space_group_symop_operation_xyz
'x,y,z'
'-x,-y,-z'
'-y+1/4,x+3/4,z+1/4'
'y+1/4,-x+3/4,-z+1/4'
'-x+1/2,-y,z+1/2'
'x+1/2,y,-z+1/2'
'y+1/4,-x+1/4,z+3/4'
'-y+1/4,x+1/4,-z+3/4'
'x,-y,-z'
'-x,y,z'
'-y+1/4,-x+1/4,-z+3/4'
'y+1/4,x+1/4,z+3/4'
'-x+1/2,y,-z+1/2'
'x+1/2,-y,z+1/2'
'y+1/4,x+3/4,-z+1/4'
'-y+1/4,-x+3/4,z+1/4'
'x+1/2,y+1/2,z+1/2'
'-x+1/2,-y+1/2,-z+1/2'
'-y+3/4,x+1/4,z+3/4'
'y+3/4,-x+1/4,-z+3/4'
'-x,-y+1/2,z'
'x,y+1/2,-z'
'y+3/4,-x+3/4,z+1/4'
'-y+3/4,x+3/4,-z+1/4'
'x+1/2,-y+1/2,-z+1/2'
'-x+1/2,y+1/2,z+1/2'
'-y+3/4,-x+3/4,-z+1/4'
'y+3/4,x+3/4,z+1/4'
'-x,y+1/2,-z'
'x,-y+1/2,z'
'y+3/4,x+1/4,-z+3/4'
'-y+3/4,-x+1/4,z+3/4'
loop_
_atom_site_label
_atom_site_fract_x
_atom_site_fract_y
_atom_site_fract_z
Zr1 0.000 0.000 0.000
H1 0.000 0.018 0.811
Pb1 0.000 0.250 0.375


# Zr3HPb, relaxed, DFT GGA-PBE
# Crystal system   tetragonal
# Size of the total moment   0.0 μB per cell
# Raw total energy   -6.544 eV/atom
# Excess energy over the best structure of this formula in the dataset   140 kJ/mol of formula units
data_Zr3HPb
_chemical_formula_sum 'Zr12 H4 Pb4'
_space_group_name_H-M_alt 'I -4 m 2'
_space_group_IT_number 119
_space_group_name_Hall 'I -4 -2'
_cell_length_a 5.991
_cell_length_b 5.991
_cell_length_c 11.390
_cell_angle_alpha 90.00
_cell_angle_beta 90.00
_cell_angle_gamma 90.00
loop_
_atom_site_label
_atom_site_fract_x
_atom_site_fract_y
_atom_site_fract_z
Zr1 0.000 0.000 0.123
Zr2 0.000 0.253 0.637
H1 0.000 0.000 0.500
H2 0.000 0.500 0.750
Pb1 0.000 0.500 0.107


# Zr6HPb2, relaxed, DFT GGA-PBE
# Crystal system   monoclinic
# Size of the total moment   0.0 μB per cell
# Raw total energy   -7.027 eV/atom
# Excess energy over the best structure of this formula in the dataset   86 kJ/mol of formula units
data_Zr6HPb2
_chemical_formula_sum 'Zr12 H2 Pb4'
_space_group_name_H-M_alt 'P 1 21/c 1'
_space_group_IT_number 14
_space_group_name_Hall '-P 2ybc'
_cell_length_a 6.056
_cell_length_b 6.640
_cell_length_c 11.313
_cell_angle_alpha 90.00
_cell_angle_beta 122.25
_cell_angle_gamma 90.00
loop_
_atom_site_label
_atom_site_fract_x
_atom_site_fract_y
_atom_site_fract_z
Zr1 0.098 0.226 0.477
Zr2 0.353 0.706 0.478
Zr3 0.383 0.005 0.252
H1 0.500 0.000 0.500
Pb1 0.137 0.089 0.746


# Zr3HPb, relaxed, DFT GGA-PBE
# Crystal system   orthorhombic
# Size of the total moment   0.0 μB per cell
# Raw total energy   -6.524 eV/atom
# Excess energy over the best structure of this formula in the dataset   150 kJ/mol of formula units
data_Zr3HPb
_chemical_formula_sum 'Zr12 H4 Pb4'
_space_group_name_H-M_alt 'P n m a'
_space_group_IT_number 62
_space_group_name_Hall '-P 2ac 2n'
_cell_length_a 5.665
_cell_length_b 9.090
_cell_length_c 7.852
_cell_angle_alpha 90.00
_cell_angle_beta 90.00
_cell_angle_gamma 90.00
loop_
_atom_site_label
_atom_site_fract_x
_atom_site_fract_y
_atom_site_fract_z
Zr1 0.006 0.099 0.135
Zr2 0.242 0.750 0.235
H1 0.025 0.250 0.946
Pb1 0.000 0.000 0.500


# Zr3HPb, relaxed, DFT GGA-PBE
# Crystal system   orthorhombic
# Size of the total moment   0.0 μB per cell
# Raw total energy   -6.055 eV/atom
# Excess energy over the best structure of this formula in the dataset   376 kJ/mol of formula units
data_Zr3HPb
_chemical_formula_sum 'Zr6 H2 Pb2'
_space_group_name_H-M_alt 'A m m 2'
_space_group_IT_number 38
_space_group_name_Hall 'A 2 -2'
_cell_length_a 3.097
_cell_length_b 5.997
_cell_length_c 15.222
_cell_angle_alpha 90.00
_cell_angle_beta 90.00
_cell_angle_gamma 90.00
loop_
_atom_site_label
_atom_site_fract_x
_atom_site_fract_y
_atom_site_fract_z
Zr1 0.000 0.000 0.000
Zr2 0.500 0.245 0.358
H1 0.000 0.000 0.862
Pb1 0.500 0.000 0.179


# Zr3HPb, relaxed, DFT GGA-PBE
# Crystal system   monoclinic
# Size of the total moment   0.0 μB per cell
# Raw total energy   -6.706 eV/atom
# Excess energy over the best structure of this formula in the dataset   62 kJ/mol of formula units
data_Zr3HPb
_chemical_formula_sum 'Zr24 H8 Pb8'
_space_group_name_H-M_alt 'C 1 2/c 1'
_space_group_IT_number 15
_space_group_name_Hall '-C 2yc'
_cell_length_a 13.866
_cell_length_b 9.535
_cell_length_c 6.283
_cell_angle_alpha 90.00
_cell_angle_beta 101.76
_cell_angle_gamma 90.00
loop_
_atom_site_label
_atom_site_fract_x
_atom_site_fract_y
_atom_site_fract_z
Zr1 0.006 0.163 0.000
Zr2 0.165 0.318 0.826
Zr3 0.175 0.018 0.351
H1 0.000 0.009 0.250
H2 0.000 0.315 0.750
Pb1 0.150 0.351 0.315


# Zr3H3Pb, relaxed, DFT GGA-PBE
# Crystal system   trigonal
# Size of the total moment   0.0 μB per cell
# Raw total energy   -5.879 eV/atom
# Excess energy over the best structure of this formula in the dataset   119 kJ/mol of formula units
data_Zr3H3Pb
_chemical_formula_sum 'Zr18 H18 Pb6'
_space_group_name_H-M_alt 'R -3'
_space_group_IT_number 148
_space_group_name_Hall '-R 3'
_cell_length_a 5.6907
_cell_length_b 5.6907
_cell_length_c 23.3955
_cell_angle_alpha 90.00
_cell_angle_beta 90.00
_cell_angle_gamma 120.00
loop_
_atom_site_label
_atom_site_fract_x
_atom_site_fract_y
_atom_site_fract_z
Zr1 0.0020 0.6715 0.3963
H1 0.0005 0.3313 0.0266
Pb1 0.0000 0.0000 0.1664


# Zr3HPb, relaxed, DFT GGA-PBE
# Crystal system   monoclinic
# Size of the total moment   0.0 μB per cell
# Raw total energy   -6.698 eV/atom
# Excess energy over the best structure of this formula in the dataset   66 kJ/mol of formula units
data_Zr3HPb
_chemical_formula_sum 'Zr12 H4 Pb4'
_space_group_name_H-M_alt 'P 1 21/c 1'
_space_group_IT_number 14
_space_group_name_Hall '-P 2ybc'
_cell_length_a 8.439
_cell_length_b 5.507
_cell_length_c 10.847
_cell_angle_alpha 90.00
_cell_angle_beta 129.35
_cell_angle_gamma 90.00
loop_
_atom_site_label
_atom_site_fract_x
_atom_site_fract_y
_atom_site_fract_z
Zr1 0.098 0.246 0.348
Zr2 0.341 0.238 0.214
Zr3 0.384 0.736 0.910
H1 0.354 0.105 0.888
Pb1 0.153 0.747 0.034


# Zr5H2Pb2, relaxed, DFT GGA-PBE
# Crystal system   monoclinic
# Size of the total moment   0.0 μB per cell
# Raw total energy   -6.611 eV/atom
data_Zr5H2Pb2
_chemical_formula_sum 'Zr10 H4 Pb4'
_space_group_name_H-M_alt 'C 1 2/m 1'
_space_group_IT_number 12
_space_group_name_Hall '-C 2y'
_cell_length_a 10.823
_cell_length_b 3.955
_cell_length_c 7.894
_cell_angle_alpha 90.00
_cell_angle_beta 97.07
_cell_angle_gamma 90.00
loop_
_atom_site_label
_atom_site_fract_x
_atom_site_fract_y
_atom_site_fract_z
Zr1 0.000 0.000 0.000
Zr2 0.138 0.000 0.437
Zr3 0.207 0.500 0.144
H1 0.153 0.000 0.179
Pb1 0.077 0.500 0.727


# Zr2H2Pb, relaxed, DFT GGA-PBE
# Crystal system   orthorhombic
# Size of the total moment   0.0 μB per cell
# Raw total energy   -5.742 eV/atom
# Excess energy over the best structure of this formula in the dataset   63 kJ/mol of formula units
data_Zr2H2Pb
_chemical_formula_sum 'Zr4 H4 Pb2'
_space_group_name_H-M_alt 'A m m 2'
_space_group_IT_number 38
_space_group_name_Hall 'A 2 -2'
_cell_length_a 3.818
_cell_length_b 3.854
_cell_length_c 11.031
_cell_angle_alpha 90.00
_cell_angle_beta 90.00
_cell_angle_gamma 90.00
loop_
_atom_site_label
_atom_site_fract_x
_atom_site_fract_y
_atom_site_fract_z
Zr1 0.000 0.000 0.000
Zr2 0.500 0.000 0.343
H1 0.000 0.000 0.410
H2 0.500 0.000 0.913
Pb1 0.500 0.000 0.636


# Zr3HPb, relaxed, DFT GGA-PBE
# Crystal system   trigonal
# Size of the total moment   0.0 μB per cell
# Raw total energy   -6.574 eV/atom
# Excess energy over the best structure of this formula in the dataset   125 kJ/mol of formula units
data_Zr3HPb
_chemical_formula_sum 'Zr18 H6 Pb6'
_space_group_name_H-M_alt 'R -3'
_space_group_IT_number 148
_space_group_name_Hall '-R 3'
_cell_length_a 5.8294
_cell_length_b 5.8294
_cell_length_c 21.4872
_cell_angle_alpha 90.00
_cell_angle_beta 90.00
_cell_angle_gamma 120.00
loop_
_atom_site_label
_atom_site_fract_x
_atom_site_fract_y
_atom_site_fract_z
Zr1 0.0102 0.6555 0.2777
H1 0.0000 0.0000 0.3335
Pb1 0.0000 0.0000 0.1691


# Zr3HPb, relaxed, DFT GGA-PBE
# Crystal system   monoclinic
# Size of the total moment   0.0 μB per cell
# Raw total energy   -6.809 eV/atom
# Excess energy over the best structure of this formula in the dataset   12 kJ/mol of formula units
data_Zr3HPb
_chemical_formula_sum 'Zr12 H4 Pb4'
_space_group_name_H-M_alt 'C 1 2 1'
_space_group_IT_number 5
_space_group_name_Hall 'C 2y'
_cell_length_a 10.900
_cell_length_b 6.482
_cell_length_c 5.516
_cell_angle_alpha 90.00
_cell_angle_beta 103.13
_cell_angle_gamma 90.00
loop_
_atom_site_label
_atom_site_fract_x
_atom_site_fract_y
_atom_site_fract_z
Zr1 0.122 0.000 0.285
Zr2 0.123 0.255 0.773
Zr3 0.126 0.508 0.293
H1 0.000 0.098 0.500
H2 0.000 0.186 0.000
Pb1 0.137 0.749 0.792


# Zr3HPb, relaxed, DFT GGA-PBE
# Crystal system   monoclinic
# Size of the total moment   0.0 μB per cell
# Raw total energy   -6.786 eV/atom
# Excess energy over the best structure of this formula in the dataset   24 kJ/mol of formula units
data_Zr3HPb
_chemical_formula_sum 'Zr12 H4 Pb4'
_space_group_name_H-M_alt 'C 1 2/c 1'
_space_group_IT_number 15
_space_group_name_Hall '-C 2yc'
_cell_length_a 6.231
_cell_length_b 9.771
_cell_length_c 6.216
_cell_angle_alpha 90.00
_cell_angle_beta 93.93
_cell_angle_gamma 90.00
loop_
_atom_site_label
_atom_site_fract_x
_atom_site_fract_y
_atom_site_fract_z
Zr1 0.000 0.247 0.250
Zr2 0.245 0.001 0.503
H1 0.000 0.456 0.250
Pb1 0.000 0.244 0.750


# Zr3H2Pb, relaxed, DFT GGA-PBE
# Crystal system   monoclinic
# Size of the total moment   0.0 μB per cell
# Raw total energy   -6.230 eV/atom
data_Zr3H2Pb
_chemical_formula_sum 'Zr12 H8 Pb4'
_space_group_name_H-M_alt 'C 1 2/m 1'
_space_group_IT_number 12
_space_group_name_Hall '-C 2y'
_cell_length_a 12.831
_cell_length_b 4.422
_cell_length_c 7.573
_cell_angle_alpha 90.00
_cell_angle_beta 106.59
_cell_angle_gamma 90.00
loop_
_atom_site_label
_atom_site_fract_x
_atom_site_fract_y
_atom_site_fract_z
Zr1 0.057 0.000 0.341
Zr2 0.114 0.500 0.671
Zr3 0.220 0.500 0.319
H1 0.059 0.500 0.360
H2 0.234 0.000 0.399
Pb1 0.146 0.000 0.995


# Zr3HPb, relaxed, DFT GGA-PBE
# Crystal system   monoclinic
# Size of the total moment   0.0 μB per cell
# Raw total energy   -6.757 eV/atom
# Excess energy over the best structure of this formula in the dataset   38 kJ/mol of formula units
data_Zr3HPb
_chemical_formula_sum 'Zr6 H2 Pb2'
_space_group_name_H-M_alt 'P 1 21/m 1'
_space_group_IT_number 11
_space_group_name_Hall '-P 2yb'
_cell_length_a 3.766
_cell_length_b 9.248
_cell_length_c 5.876
_cell_angle_alpha 90.00
_cell_angle_beta 108.65
_cell_angle_gamma 90.00
loop_
_atom_site_label
_atom_site_fract_x
_atom_site_fract_y
_atom_site_fract_z
Zr1 0.043 0.250 0.089
Zr2 0.366 0.038 0.736
H1 0.457 0.250 0.918
Pb1 0.244 0.750 0.484


# Zr3HPb, relaxed, DFT GGA-PBE
# Crystal system   trigonal
# Size of the total moment   0.0 μB per cell
# Raw total energy   -6.763 eV/atom
# Excess energy over the best structure of this formula in the dataset   34 kJ/mol of formula units
data_Zr3HPb
_chemical_formula_sum 'Zr18 H6 Pb6'
_space_group_name_H-M_alt 'R -3 c'
_space_group_IT_number 167
_space_group_name_Hall '-R 3 2"c'
_cell_length_a 7.9494
_cell_length_b 7.9494
_cell_length_c 10.4850
_cell_angle_alpha 90.00
_cell_angle_beta 90.00
_cell_angle_gamma 120.00
loop_
_atom_site_label
_atom_site_fract_x
_atom_site_fract_y
_atom_site_fract_z
Zr1 0.0000 0.2473 0.2500
H1 0.0000 0.0000 0.2500
Pb1 0.0000 0.0000 0.0000


# Zr6HPb3, relaxed, DFT GGA-PBE
# Crystal system   orthorhombic
# Size of the total moment   0.0 μB per cell
# Raw total energy   -6.827 eV/atom
data_Zr6HPb3
_chemical_formula_sum 'Zr24 H4 Pb12'
_space_group_name_H-M_alt 'C m c 21'
_space_group_IT_number 36
_space_group_name_Hall 'C 2c -2'
_cell_length_a 11.637
_cell_length_b 14.902
_cell_length_c 4.865
_cell_angle_alpha 90.00
_cell_angle_beta 90.00
_cell_angle_gamma 90.00
loop_
_atom_site_label
_atom_site_fract_x
_atom_site_fract_y
_atom_site_fract_z
Zr1 0.000 0.070 0.000
Zr2 0.000 0.261 0.496
Zr3 0.167 0.242 0.997
Zr4 0.167 0.425 0.499
H1 0.000 0.204 0.100
Pb1 0.000 0.404 0.997
Pb2 0.167 0.098 0.501


# Zr3HPb, relaxed, DFT GGA-PBE
# Crystal system   hexagonal
# Size of the total moment   0.0 μB per cell
# Raw total energy   -6.620 eV/atom
# Excess energy over the best structure of this formula in the dataset   103 kJ/mol of formula units
data_Zr3HPb
_chemical_formula_sum 'Zr6 H2 Pb2'
_space_group_name_H-M_alt 'P 63/m m c'
_space_group_IT_number 194
_space_group_name_Hall '-P 6c 2c'
_cell_length_a 3.3709
_cell_length_b 3.3709
_cell_length_c 20.3852
_cell_angle_alpha 90.00
_cell_angle_beta 90.00
_cell_angle_gamma 120.00
loop_
_atom_site_label
_atom_site_fract_x
_atom_site_fract_y
_atom_site_fract_z
Zr1 0.0000 0.0000 0.2500
Zr2 0.3333 0.6667 0.1266
H1 0.3333 0.6667 0.2500
Pb1 0.0000 0.0000 0.0000


# Zr3HPb, relaxed, DFT GGA-PBE
# Crystal system   monoclinic
# Size of the total moment   0.0 μB per cell
# Raw total energy   -6.664 eV/atom
# Excess energy over the best structure of this formula in the dataset   82 kJ/mol of formula units
data_Zr3HPb
_chemical_formula_sum 'Zr12 H4 Pb4'
_space_group_name_H-M_alt 'C 1 2/m 1'
_space_group_IT_number 12
_space_group_name_Hall '-C 2y'
_cell_length_a 17.915
_cell_length_b 3.351
_cell_length_c 6.655
_cell_angle_alpha 90.00
_cell_angle_beta 93.22
_cell_angle_gamma 90.00
loop_
_atom_site_label
_atom_site_fract_x
_atom_site_fract_y
_atom_site_fract_z
Zr1 0.008 0.000 0.235
Zr2 0.113 0.500 0.519
Zr3 0.235 0.000 0.284
H1 0.119 0.000 0.351
Pb1 0.125 0.500 0.985